(1)
The following is a DFT calculation (PBE) of a relaxed LiDy2Ga crystal.

## Properties
Space-group type   Fm-3m, No. 225
Spin magnetization   0.00 μB/f.u.
Energy of formation   -302 meV/atom

a b c (Å): 5.1901 5.1901 5.1901
angles (deg): 60.00 60.00 60.00
Element x y z (fractional)
Li 0.0000 0.0000 0.0000
Dy 0.2500 0.2500 0.2500
Dy 0.7500 0.7500 0.7500
Ga 0.5000 0.5000 0.5000

***

(2)
The following is a DFT calculation (PBE) of a relaxed Dy4TeRh crystal.

## Properties
Space-group type   C2/m, No. 12
Spin magnetization   0.00 μB/f.u.
Formation energy without anion corrections   -3.0 eV per formula unit

a b c (Å): 9.9008 9.9008 9.5650
angles (deg): 113.58 113.58 31.61
Element x y z (fractional)
Dy 0.0282 0.0282 0.2076
Dy 0.2005 0.2005 0.8942
Dy 0.2475 0.2475 0.3175
Dy 0.3983 0.3983 0.9788
Dy 0.6017 0.6017 0.0212
Dy 0.7525 0.7525 0.6825
Dy 0.7995 0.7995 0.1058
Dy 0.9718 0.9718 0.7924
Te 0.1651 0.1651 0.5429
Te 0.8349 0.8349 0.4571
Rh 0.1140 0.1140 0.0517
Rh 0.8860 0.8860 0.9483

***

(3)
The following is a DFT calculation (PBE) of a relaxed CaZn9Ag2 crystal.

## Properties
Space-group type   P6/mmm, No. 191
Spin magnetization   0.00 μB/f.u.
Energy of formation   -45 meV/atom

a b c (Å): 8.7916 8.7916 3.0950
angles (deg): 90.00 90.00 120.00
Element x y z (fractional)
Ca 0.0000 0.0000 0.0000
Zn 0.0000 0.5000 0.0000
Zn 0.1806 0.3612 0.5000
Zn 0.1806 0.8194 0.5000
Zn 0.3612 0.1806 0.5000
Zn 0.5000 0.0000 0.0000
Zn 0.5000 0.5000 0.0000
Zn 0.6388 0.8194 0.5000
Zn 0.8194 0.1806 0.5000
Zn 0.8194 0.6388 0.5000
Ag 0.3333 0.6667 0.0000
Ag 0.6667 0.3333 0.0000

***

(4)
The following is a DFT calculation (PBE) of a relaxed GeBiTe2 crystal.

## Properties
Space-group type   Pnma, No. 62
Spin magnetization   0.00 μB/f.u.
Formation energy without anion corrections   0.0 eV per formula unit

a b c (Å): 6.4145 4.9772 17.0725
angles (deg): 90.00 90.00 90.00
Element x y z (fractional)
Ge 0.2141 0.2500 0.1650
Ge 0.2859 0.7500 0.6650
Ge 0.7141 0.2500 0.3350
Ge 0.7859 0.7500 0.8350
Bi 0.1999 0.7500 0.4545
Bi 0.3001 0.2500 0.9545
Bi 0.6999 0.7500 0.0455
Bi 0.8001 0.2500 0.5455
Te 0.1465 0.2500 0.3334
Te 0.1828 0.7500 0.0745
Te 0.3172 0.2500 0.5745
Te 0.3535 0.7500 0.8334
Te 0.6465 0.2500 0.1666
Te 0.6828 0.7500 0.4255
Te 0.8172 0.2500 0.9255
Te 0.8535 0.7500 0.6666

***

(5)
The following is a DFT calculation (PBE) of a relaxed HfRu2Au crystal.

## Properties
Space-group type   Fm-3m, No. 225
Spin magnetization   0.00 μB/f.u.
Energy of formation   -93 meV/atom

a b c (Å): 4.5322 4.5322 4.5322
angles (deg): 60.00 60.00 60.00
Element x y z (fractional)
Hf 0.0000 0.0000 0.0000
Ru 0.2500 0.2500 0.2500
Ru 0.7500 0.7500 0.7500
Au 0.5000 0.5000 0.5000

***

(6)
The following is a DFT calculation (PBE) of a relaxed Dy5TmIn6 crystal.

## Properties
Space-group type   Cmmm, No. 65
Spin magnetization   0.00 μB/f.u.
Energy of formation   -460 meV/atom

a b c (Å): 8.4036 8.4036 7.4779
angles (deg): 90.00 90.00 143.16
Element x y z (fractional)
Dy 0.0000 0.0000 0.0000
Dy 0.3325 0.6675 0.0000
Dy 0.3337 0.6663 0.5000
Dy 0.6663 0.3337 0.5000
Dy 0.6675 0.3325 0.0000
Tm 0.0000 0.0000 0.5000
In 0.1658 0.8342 0.2515
In 0.1658 0.8342 0.7485
In 0.5000 0.5000 0.2513
In 0.5000 0.5000 0.7487
In 0.8342 0.1658 0.2515
In 0.8342 0.1658 0.7485

***

(7)
The following is a DFT calculation (PBE) of a relaxed Er2Al2Si3 crystal.

## Properties
Space-group type   C2/m, No. 12
Spin magnetization   0.00 μB/f.u.
Formation energy without anion corrections   -3.3 eV per formula unit

a b c (Å): 7.7272 7.7272 11.5141
angles (deg): 125.38 125.38 30.77
Element x y z (fractional)
Er 0.0963 0.0963 0.4421
Er 0.2313 0.2313 0.8347
Er 0.7687 0.7687 0.1653
Er 0.9037 0.9037 0.5579
Al 0.0954 0.0954 0.1635
Al 0.4487 0.4487 0.1864
Al 0.5513 0.5513 0.8136
Al 0.9046 0.9046 0.8365
Si 0.1167 0.1167 0.9653
Si 0.3345 0.3345 0.6790
Si 0.4138 0.4138 0.3798
Si 0.5862 0.5862 0.6202
Si 0.6655 0.6655 0.3210
Si 0.8833 0.8833 0.0347

***

(8)
The following is a DFT calculation (PBE) of a relaxed YAg crystal.

## Properties
Space-group type   P6_3/mmc, No. 194
Spin magnetization   0.00 μB/f.u.
Energy of formation   229 meV/atom

a b c (Å): 5.0220 5.0220 6.0031
angles (deg): 90.00 90.00 120.00
Element x y z (fractional)
Y 0.3333 0.6667 0.2500
Y 0.6667 0.3333 0.7500
Ag 0.3333 0.6667 0.7500
Ag 0.6667 0.3333 0.2500

***

| no. | total energy (eV/atom) | theoretical density (g/cm3) |
| --- | --- | --- |
| 1 | -3.838 | 6.75 |
| 2 | -5.316 | 6.54 |
| 3 | -1.643 | 6.77 |
| 4 | -3.698 | 6.54 |
| 5 | -8.039 | 14.57 |
| 6 | -4.119 | 8.76 |
| 7 | -5.169 | 5.58 |
| 8 | -4.429 | 4.98 |